# 1
Al2ReI, relaxed, DFT PBE-GGA; formation energy (no corrections) = 0.9506 eV/atom; E_tot = -4.420 eV per atom; relative energy among the computed polymorphs = 0 meV per atom; symmetry = Fm-3m (225)
1.0
0.0000 3.2849 3.2849
3.2849 0.0000 3.2849
3.2849 3.2849 0.0000
Al Re I
2 1 1
Cartesian
1.6425 1.6425 1.6425
4.9274 4.9274 4.9274
0.0000 0.0000 0.0000
3.2849 3.2849 3.2849



# 2
ZrCrRe2, relaxed, DFT PBE-GGA; ΔE_f = 0.022 eV/atom; E_tot = -10.745 eV per atom; relative energy among the computed polymorphs = 42 meV per atom; symmetry = Pmmm (47)
1.0
3.1475 0.0000 0.0000
0.0000 4.4449 0.0000
0.0000 0.0000 4.4816
Zr Cr Re
1 1 2
Cartesian
0.0000 0.0000 0.0000
1.5737 2.2224 0.0000
0.0000 2.2224 2.2408
1.5737 0.0000 2.2408



# 3
NaSiGeH2, relaxed, DFT PBE-GGA; E_tot = -3.121 eV per atom; symmetry = P4/mmm (123)
1.0
3.8256 0.0000 0.0000
0.0000 3.8256 0.0000
0.0000 0.0000 5.2860
Na Si Ge H
1 1 1 2
Cartesian
0.0000 0.0000 0.0000
1.9128 1.9128 0.0000
1.9128 1.9128 2.6430
0.0000 1.9128 2.6430
1.9128 0.0000 2.6430



# 4
ZnCdFe2, relaxed, DFT PBE-GGA; ΔE_f = 0.221 eV/atom; E_tot = -4.557 eV per atom; symmetry = I4/mmm (139)
1.0
-1.8831 1.8831 4.0616
1.8831 -1.8831 4.0616
1.8831 1.8831 -4.0616
Zn Cd Fe
1 1 2
Cartesian
0.0000 0.0000 0.0000
0.0000 0.0000 4.0616
1.8831 0.0000 2.0308
0.0000 1.8831 2.0308



# 5
Ac3Pm2Ir3, relaxed, DFT PBE-GGA; ΔE_f = -0.520 eV/atom; E_tot = -6.572 eV per atom; symmetry = Cm (8)
1.0
6.8048 -2.8992 0.0000
6.8048 2.8992 0.0000
-0.4280 0.0000 14.4111
Ac Pm Ir
6 4 6
Cartesian
0.0000 0.0000 0.0000
2.6642 0.0000 5.3894
3.6037 0.0000 12.4786
4.0292 0.0000 1.8790
6.6336 0.0000 7.2059
12.0257 0.0000 9.6641
2.1873 0.0000 9.1819
7.2794 0.0000 11.6968
7.7233 0.0000 2.6362
12.5574 0.0000 4.4798
0.2924 0.0000 7.1127
0.8467 0.0000 11.6056
1.2972 0.0000 2.7873
4.9379 0.0000 9.8783
5.4059 0.0000 4.4037
5.8409 0.0000 14.3760



# 6
LiAlP2, relaxed, DFT PBE-GGA; ΔE_f = -0.097 eV/atom; E_tot = -4.216 eV per atom; symmetry = C2/m (12)
1.0
2.6018 -3.3374 0.0000
2.6018 3.3374 0.0000
-0.0769 0.0000 3.4040
Li Al P
1 1 2
Cartesian
0.0000 0.0000 0.0000
2.6018 0.0000 0.0000
1.2625 1.6687 1.7020
1.2625 -1.6687 1.7020